The following is a DFT calculation (PBEsol) of ZrTlCu after structural relaxation.

Cell lengths 3.1676, 4.2691, 5.0008 Å; angles 115.27, 108.46, 90.00 degrees
Closest atoms and distances in Å follow each position.
Sites, in units of the cell vectors:
Zr (0.3349, 0.3349, 0.6699)  5 Tl 2.83-3.01, 5 Cu 2.87-2.99
Tl (0.6687, 0.6687, 0.3374)  5 Cu 2.78-3.03, 5 Zr 2.83-3.01
Cu (0.9964, 0.9964, 0.9927)  5 Tl 2.78-3.03, 5 Zr 2.87-2.99

Values from the calculation:
E_tot = -5.168 eV per atom
D(E_F) = 1.7 states/eV per cell
Energy relative to the elements = 0.183 eV per atom